Arrangement A

The following is a PBE calculation of a relaxed LiHoCl4 crystal, from Alexandria.

It has space group C2/c (No. 15), with a = 8.188 Å, b = 16.937 Å, c = 6.353 Å, α = 90.00°, β = 129.19° and γ = 90.00°. Symmetry generates all atoms from Li at (0.000, 0.135, 0.250), Ho at (0.000, 0.329, 0.750), Cl at (0.209, 0.204, 0.724) and Cl at (0.225, 0.423, 0.722).

The calculation puts the magnetization at 0.00 μB per formula unit.

Arrangement B

The following is a PBE calculation of a relaxed LiHoCl4 crystal, from Alexandria.

It has space group P2/m (No. 10), with a = 6.616 Å, b = 3.922 Å, c = 6.701 Å, α = 90.00°, β = 95.80° and γ = 90.00°. Symmetry generates all atoms from Li at (0.000, 0.000, 0.000), Ho at (0.000, 0.500, 0.500), Cl at (0.199, 0.500, 0.186) and Cl at (0.227, 0.000, 0.676).

The calculation puts the magnetization at 0.00 μB per formula unit.

How do the energies compare? Relative to the most stable structure, in kJ/mol of atoms: arrangement A 1.2; arrangement B 0.0.

Arrangement A

The following is a PBE calculation of a relaxed Na2HoCl5 crystal, from Alexandria.

It has space group Pnma (No. 62), with a = 12.093 Å, b = 8.239 Å, c = 7.749 Å, α = 90.00°, β = 90.00° and γ = 90.00°. Symmetry generates all atoms from Na at (0.176, 0.005, 0.022), Ho at (0.008, 0.750, 0.581), Cl at (0.014, 0.750, 0.934), Cl at (0.086, 0.045, 0.660), Cl at (0.180, 0.750, 0.365) and Cl at (0.205, 0.250, 0.316).

The calculation puts the magnetization at 0.00 μB per formula unit.

Arrangement B

The following is a PBE calculation of a relaxed Na2HoCl5 crystal, from Alexandria.

It has space group Cmcm (No. 63), with a = 5.288 Å, b = 13.880 Å, c = 13.629 Å, α = 90.00°, β = 90.00° and γ = 90.00°. Symmetry generates all atoms from Na at (0.000, 0.145, 0.056), Ho at (0.000, 0.180, 0.750), Cl at (0.000, 0.045, 0.621), Cl at (0.000, 0.285, 0.250) and Cl at (0.000, 0.301, 0.597).

The calculation puts the magnetization at 0.00 μB per formula unit.

How do the energies compare? Relative to the most stable structure, in kJ/mol of atoms: arrangement A 0.6; arrangement B 0.0.

Arrangement A

The following is a PBE calculation of a relaxed Ho2OsCl crystal, from Alexandria.

It has space group P4/mmm (No. 123), with a = 3.336 Å, b = 3.336 Å, c = 7.977 Å, α = 90.00°, β = 90.00° and γ = 90.00°. Symmetry generates all atoms from Ho at (0.000, 0.000, 0.211), Os at (0.500, 0.500, 0.000) and Cl at (0.500, 0.500, 0.500).

The calculation puts the magnetization at 0.00 μB per formula unit.

Arrangement B

The following is a PBE calculation of a relaxed Ho2OsCl crystal, from Alexandria.

It has space group R-3m (No. 166, hexagonal axes), with a = 3.9380 Å, b = 3.9380 Å, c = 22.2636 Å, α = 90.00°, β = 90.00° and γ = 120.00°. Symmetry generates all atoms from Ho at (0.0000, 0.0000, 0.2350), Os at (0.0000, 0.0000, 0.5000) and Cl at (0.0000, 0.0000, 0.0000).

The calculation puts the magnetization at 0.00 μB per formula unit.

How do the energies compare? Relative to the most stable structure, in kJ/mol of atoms: arrangement A 0.0; arrangement B 11.4.

Arrangement A

The following is a PBE calculation of a relaxed PrHoCl6 crystal, from Alexandria.

It has space group C2/m (No. 12), with a = 7.082 Å, b = 12.246 Å, c = 7.307 Å, α = 90.00°, β = 90.56° and γ = 90.00°. Symmetry generates all atoms from Pr at (0.000, 0.000, 0.000), Ho at (0.000, 0.000, 0.500), Cl at (0.142, 0.143, 0.737) and Cl at (0.214, 0.500, 0.733).

The calculation puts the magnetization at 0.00 μB per formula unit.

Arrangement B

The following is a PBE calculation of a relaxed PrHoCl6 crystal, from Alexandria.

It has space group R-3 (No. 148, hexagonal axes), with a = 6.8433 Å, b = 6.8433 Å, c = 18.7574 Å, α = 90.00°, β = 90.00° and γ = 120.00°. Symmetry generates all atoms from Pr at (0.0000, 0.0000, 0.0000), Ho at (0.0000, 0.0000, 0.5000) and Cl at (0.0107, 0.3583, 0.2479).

The calculation puts the magnetization at 0.00 μB per formula unit.

How do the energies compare? Relative to the most stable structure, in kJ/mol of atoms: arrangement A 4.2; arrangement B 0.0.